ScTaInO6 GGA-PBE optimized geometry; formation energy (no corrections) = -2.420 eV per atom; space-group type = P4_2nm, No. 102
1.0
4.892 0.000 0.000
0.000 4.892 0.000
0.000 0.000 9.660
Sc Ta In O
2 2 2 12
direct
0.000 0.000 0.000
0.500 0.500 0.500
0.000 0.000 0.327
0.500 0.500 0.827
0.000 0.000 0.666
0.500 0.500 0.166
0.188 0.188 0.175
0.195 0.195 0.484
0.209 0.209 0.839
0.291 0.709 0.339
0.305 0.695 0.984
0.312 0.688 0.675
0.688 0.312 0.675
0.695 0.305 0.984
0.709 0.291 0.339
0.791 0.791 0.839
0.805 0.805 0.484
0.812 0.812 0.175

---

Tb2ScInO GGA-PBE optimized geometry; formation energy (no corrections) = -1.435 eV per atom; space-group type = P4/mmm, No. 123
1.0
4.830 0.000 0.000
0.000 4.830 0.000
0.000 0.000 4.464
Tb Sc In O
2 1 1 1
direct
0.000 0.500 0.000
0.500 0.000 0.000
0.000 0.000 0.500
0.500 0.500 0.500
0.000 0.000 0.000

---

TbScIn2O6 GGA-PBE optimized geometry; formation energy (no corrections) = -2.508 eV per atom; space-group type = R3, No. 146
1.0
2.796 1.615 4.954
-2.796 1.615 4.954
0.000 -3.229 4.954
Tb Sc In O
1 1 2 6
direct
0.000 0.000 0.000
0.492 0.492 0.492
0.280 0.280 0.280
0.784 0.784 0.784
0.098 0.672 0.404
0.198 0.585 0.879
0.404 0.098 0.672
0.585 0.879 0.198
0.672 0.404 0.098
0.879 0.198 0.585

---

ScInTcO6 GGA-PBE optimized geometry; formation energy (no corrections) = -1.929 eV per atom; space-group type = P4_2nm, No. 102
1.0
4.810 0.000 0.000
0.000 4.810 0.000
0.000 0.000 9.611
Sc In Tc O
2 2 2 12
direct
0.000 0.000 0.000
0.500 0.500 0.500
0.000 0.000 0.663
0.500 0.500 0.163
0.000 0.000 0.330
0.500 0.500 0.830
0.186 0.186 0.173
0.194 0.194 0.479
0.221 0.221 0.834
0.279 0.721 0.334
0.306 0.694 0.979
0.314 0.686 0.673
0.686 0.314 0.673
0.694 0.306 0.979
0.721 0.279 0.334
0.779 0.779 0.834
0.806 0.806 0.479
0.814 0.814 0.173

---

ScIn2TeO8 GGA-PBE optimized geometry; formation energy (no corrections) = -1.627 eV per atom; space-group type = Cmmm, No. 65
1.0
3.409 -3.503 0.000
3.409 3.503 0.000
0.000 0.000 6.539
Sc In Te O
1 2 1 8
direct
0.000 0.000 0.000
0.500 0.500 0.249
0.500 0.500 0.751
0.000 0.000 0.500
0.182 0.818 0.273
0.182 0.818 0.727
0.288 0.288 0.500
0.300 0.300 0.000
0.700 0.700 0.000
0.712 0.712 0.500
0.818 0.182 0.273
0.818 0.182 0.727

---

ScInTeO6 GGA-PBE optimized geometry; formation energy (no corrections) = -1.841 eV per atom; space-group type = P-31c, No. 163
1.0
5.323 0.000 0.000
-2.662 4.610 0.000
0.000 0.000 9.183
Sc In Te O
2 2 2 12
direct
0.333 0.667 0.250
0.667 0.333 0.750
0.000 0.000 0.000
0.000 0.000 0.500
0.333 0.667 0.750
0.667 0.333 0.250
0.023 0.363 0.633
0.023 0.660 0.867
0.340 0.363 0.867
0.340 0.977 0.633
0.363 0.023 0.133
0.363 0.340 0.367
0.637 0.660 0.633
0.637 0.977 0.867
0.660 0.023 0.367
0.660 0.637 0.133
0.977 0.340 0.133
0.977 0.637 0.367

---

Sc2TiInO GGA-PBE optimized geometry; formation energy (no corrections) = -1.340 eV per atom; space-group type = P4/mmm, No. 123
1.0
4.514 0.000 0.000
0.000 4.514 0.000
0.000 0.000 4.135
Sc Ti In O
2 1 1 1
direct
0.000 0.500 0.000
0.500 0.000 0.000
0.000 0.000 0.500
0.500 0.500 0.500
0.000 0.000 0.000

---

Sc4TlInO GGA-PBE optimized geometry; formation energy (no corrections) = -1.080 eV per atom; space-group type = Cmcm, No. 63
1.0
3.080 -7.669 0.000
3.080 7.669 0.000
0.000 0.000 6.158
Sc Tl In O
8 2 2 2
direct
0.000 0.500 0.000
0.000 0.500 0.500
0.088 0.912 0.750
0.411 0.589 0.750
0.500 0.000 0.000
0.500 0.000 0.500
0.589 0.411 0.250
0.912 0.088 0.250
0.108 0.892 0.250
0.892 0.108 0.750
0.392 0.608 0.250
0.608 0.392 0.750
0.250 0.750 0.750
0.750 0.250 0.250

---

ScTlIn2O6 GGA-PBE optimized geometry; formation energy (no corrections) = -1.795 eV per atom; space-group type = R3, No. 146
1.0
2.795 1.614 4.938
-2.795 1.614 4.938
0.000 -3.228 4.938
Sc Tl In O
1 1 2 6
direct
0.000 0.000 0.000
0.508 0.508 0.508
0.291 0.291 0.291
0.785 0.785 0.785
0.086 0.704 0.384
0.174 0.603 0.910
0.384 0.086 0.704
0.603 0.910 0.174
0.704 0.384 0.086
0.910 0.174 0.603

---

TmScIn2O6 GGA-PBE optimized geometry; formation energy (no corrections) = -2.540 eV per atom; space-group type = R3, No. 146
1.0
2.776 1.603 4.938
-2.776 1.603 4.938
0.000 -3.205 4.938
Tm Sc In O
1 1 2 6
direct
0.000 0.000 0.000
0.496 0.496 0.496
0.284 0.284 0.284
0.786 0.786 0.786
0.103 0.685 0.397
0.202 0.594 0.881
0.397 0.103 0.685
0.594 0.881 0.202
0.685 0.397 0.103
0.881 0.202 0.594

---

ScUInO6 GGA-PBE optimized geometry; formation energy (no corrections) = -2.687 eV per atom; space-group type = P-31c, No. 163
1.0
5.475 0.000 0.000
-2.737 4.741 0.000
0.000 0.000 9.304
Sc U In O
2 2 2 12
direct
0.000 0.000 0.000
0.000 0.000 0.500
0.333 0.667 0.250
0.667 0.333 0.750
0.333 0.667 0.750
0.667 0.333 0.250
0.015 0.338 0.128
0.015 0.677 0.372
0.323 0.338 0.372
0.323 0.985 0.128
0.338 0.015 0.628
0.338 0.323 0.872
0.662 0.677 0.128
0.662 0.985 0.372
0.677 0.015 0.872
0.677 0.662 0.628
0.985 0.323 0.628
0.985 0.662 0.872

---

Repeat the tenth record exactly.
TmScIn2O6 GGA-PBE optimized geometry; formation energy (no corrections) = -2.540 eV per atom; space-group type = R3, No. 146
1.0
2.776 1.603 4.938
-2.776 1.603 4.938
0.000 -3.205 4.938
Tm Sc In O
1 1 2 6
direct
0.000 0.000 0.000
0.496 0.496 0.496
0.284 0.284 0.284
0.786 0.786 0.786
0.103 0.685 0.397
0.202 0.594 0.881
0.397 0.103 0.685
0.594 0.881 0.202
0.685 0.397 0.103
0.881 0.202 0.594

---

Please write out number 8 again, unchanged.
Sc4TlInO GGA-PBE optimized geometry; formation energy (no corrections) = -1.080 eV per atom; space-group type = Cmcm, No. 63
1.0
3.080 -7.669 0.000
3.080 7.669 0.000
0.000 0.000 6.158
Sc Tl In O
8 2 2 2
direct
0.000 0.500 0.000
0.000 0.500 0.500
0.088 0.912 0.750
0.411 0.589 0.750
0.500 0.000 0.000
0.500 0.000 0.500
0.589 0.411 0.250
0.912 0.088 0.250
0.108 0.892 0.250
0.892 0.108 0.750
0.392 0.608 0.250
0.608 0.392 0.750
0.250 0.750 0.750
0.750 0.250 0.250

---

Copy entry 6 word for word.
ScInTeO6 GGA-PBE optimized geometry; formation energy (no corrections) = -1.841 eV per atom; space-group type = P-31c, No. 163
1.0
5.323 0.000 0.000
-2.662 4.610 0.000
0.000 0.000 9.183
Sc In Te O
2 2 2 12
direct
0.333 0.667 0.250
0.667 0.333 0.750
0.000 0.000 0.000
0.000 0.000 0.500
0.333 0.667 0.750
0.667 0.333 0.250
0.023 0.363 0.633
0.023 0.660 0.867
0.340 0.363 0.867
0.340 0.977 0.633
0.363 0.023 0.133
0.363 0.340 0.367
0.637 0.660 0.633
0.637 0.977 0.867
0.660 0.023 0.367
0.660 0.637 0.133
0.977 0.340 0.133
0.977 0.637 0.367

---

Q: What is the formula in the first record?
A: ScTaInO6